Below is a relaxed Mg2SbPt crystal, with properties calculated at the PBE-GGA level.

a b c (Å): 3.2164 3.2808 8.2999
angles (deg): 67.76 90.00 90.00
Sites, in units of the cell vectors:
1 Mg 0.0000 0.9385 0.0525
2 Mg 0.0000 0.5615 0.4475
3 Pt 0.5000 0.2500 0.2500
4 Sb 0.5000 0.7500 0.7500

Calculated values
- Formation energy (no corrections): -0.5147 eV per atom
- Symmetry: No. 10
- Electronic total energy: -3.853 eV per atom